Entry one
Crystalline ZrNb2Cu at its relaxed geometry, computed with GGA-PBE. Values from VASP.

Summary:
volume	152.2	Å³ per cell
SG	No. 122

Quantum ESPRESSO input file:
```
&SYSTEM
  ibrav = 0, nat = 8, ntyp = 3
/
ATOMIC_SPECIES
Nb 92.91 Nb.upf
Cu 63.55 Cu.upf
Zr 91.22 Zr.upf
ATOMIC_POSITIONS angstrom
Nb -3.554 -1.278 -1.240
Nb -1.741 -3.329 -1.304
Nb -6.475 -5.724 -0.165
Nb -7.454 -6.513 -2.598
Cu -0.978 -0.791 -2.434
Cu -3.898 -5.237 -1.358
Zr 0.000 0.000 0.000
Zr -5.713 -3.185 -1.295
CELL_PARAMETERS angstrom
-2.793 1.261 -2.372
0.837 -2.843 -2.497
-7.655 -6.839 2.215
```

***

Entry two
Crystalline ZrNb2Cu at its relaxed geometry, computed with GGA-PBE. Values from VASP.

Summary:
volume	71.0	Å³ per cell
SG	No. 225

Quantum ESPRESSO input file:
```
&SYSTEM
  ibrav = 0, nat = 4, ntyp = 3
/
ATOMIC_SPECIES
Nb 92.91 Nb.upf
Cu 63.55 Cu.upf
Zr 91.22 Zr.upf
ATOMIC_POSITIONS angstrom
Nb 1.643 1.643 1.643
Nb 4.929 4.929 4.929
Cu 0.000 0.000 0.000
Zr 3.286 3.286 3.286
CELL_PARAMETERS angstrom
0.000 3.286 3.286
3.286 0.000 3.286
3.286 3.286 0.000
```

***

The most stable of them is entry two.

***

Entry one
Crystalline ZrNb3Cu at its relaxed geometry, computed with GGA-PBE. Values from VASP.

Summary:
volume	115.9	Å³ per cell
SG	No. 221

Quantum ESPRESSO input file:
```
&SYSTEM
  ibrav = 0, nat = 5, ntyp = 3
/
ATOMIC_SPECIES
Nb 92.91 Nb.upf
Cu 63.55 Cu.upf
Zr 91.22 Zr.upf
ATOMIC_POSITIONS angstrom
Nb 0.000 2.438 0.000
Nb 0.000 0.000 2.438
Nb 2.438 0.000 0.000
Cu 2.438 2.438 2.438
Zr 0.000 0.000 0.000
CELL_PARAMETERS angstrom
4.876 0.000 0.000
0.000 4.876 0.000
0.000 0.000 4.876
```

***

Entry two
Crystalline ZrNb3Cu at its relaxed geometry, computed with GGA-PBE. Values from VASP.

Summary:
volume	104.7	Å³ per cell
SG	No. 221

Quantum ESPRESSO input file:
```
&SYSTEM
  ibrav = 0, nat = 5, ntyp = 3
/
ATOMIC_SPECIES
Nb 92.91 Nb.upf
Cu 63.55 Cu.upf
Zr 91.22 Zr.upf
ATOMIC_POSITIONS angstrom
Nb -0.242 -1.088 -2.077
Nb 2.107 -1.017 0.287
Nb -1.028 -1.827 1.077
Cu 0.000 0.000 0.000
Zr 0.837 -3.932 -0.713
CELL_PARAMETERS angstrom
-2.056 -3.654 2.154
-0.484 -2.176 -4.154
4.214 -2.033 0.574
```

***

The most stable of them is entry two.

***

Entry one
Crystalline ZrNb2Cu2 at its relaxed geometry, computed with GGA-PBE. Values from VASP.

Summary:
volume	170.7	Å³ per cell
SG	No. 127

Quantum ESPRESSO input file:
```
&SYSTEM
  ibrav = 0, nat = 10, ntyp = 3
/
ATOMIC_SPECIES
Nb 92.91 Nb.upf
Cu 63.55 Cu.upf
Zr 91.22 Zr.upf
ATOMIC_POSITIONS angstrom
Nb 2.984 6.920 0.000
Nb 6.920 4.888 0.000
Nb 4.888 0.952 0.000
Nb 0.952 2.984 0.000
Cu 1.384 5.320 1.378
Cu 5.320 6.487 1.378
Cu 6.487 2.552 1.378
Cu 2.552 1.384 1.378
Zr 0.000 0.000 0.000
Zr 3.936 3.936 0.000
CELL_PARAMETERS angstrom
7.872 0.000 0.000
0.000 7.872 0.000
0.000 0.000 2.756
```

***

Entry two
Crystalline ZrNb2Cu2 at its relaxed geometry, computed with GGA-PBE. Values from VASP.

Summary:
volume	168.8	Å³ per cell
SG	No. 127

Quantum ESPRESSO input file:
```
&SYSTEM
  ibrav = 0, nat = 10, ntyp = 3
/
ATOMIC_SPECIES
Nb 92.91 Nb.upf
Cu 63.55 Cu.upf
Zr 91.22 Zr.upf
ATOMIC_POSITIONS angstrom
Nb 5.037 -1.552 -1.208
Nb 5.598 -4.463 -3.693
Nb 1.957 -5.642 -3.133
Nb 1.396 -2.732 -0.648
Cu 5.815 -1.768 -3.726
Cu 3.499 -4.921 -5.234
Cu 0.245 -3.638 -2.921
Cu 2.561 -0.484 -1.413
Zr 0.000 0.000 0.000
Zr 3.030 -2.703 -3.324
CELL_PARAMETERS angstrom
-0.944 -5.996 -4.269
7.004 0.590 -2.378
0.934 -1.789 2.306
```

***

Entry three
Crystalline ZrNb2Cu2 at its relaxed geometry, computed with GGA-PBE. Values from VASP.

Summary:
volume	90.1	Å³ per cell
SG	No. 139

Quantum ESPRESSO input file:
```
&SYSTEM
  ibrav = 0, nat = 5, ntyp = 3
/
ATOMIC_SPECIES
Nb 92.91 Nb.upf
Cu 63.55 Cu.upf
Zr 91.22 Zr.upf
ATOMIC_POSITIONS angstrom
Nb -1.725 -2.152 -1.105
Nb -5.671 -4.452 -1.353
Cu -4.119 -2.477 -2.178
Cu -3.277 -4.127 -0.280
Zr 0.000 0.000 0.000
CELL_PARAMETERS angstrom
-1.319 -0.420 -3.485
0.366 -3.719 0.310
-6.443 -2.465 0.717
```

***

The most stable of them is entry two.

***

Entry one
Crystalline Nd3Cu2 at its relaxed geometry, computed with GGA-PBE. Values from VASP.

Summary:
volume	128.3	Å³ per cell
SG	No. 139

Quantum ESPRESSO input file:
```
&SYSTEM
  ibrav = 0, nat = 5, ntyp = 2
/
ATOMIC_SPECIES
Nd 144.24 Nd.upf
Cu 63.55 Cu.upf
ATOMIC_POSITIONS angstrom
Nd 0.000 0.000 0.000
Nd 0.000 0.000 3.561
Nd 1.800 1.800 6.345
Cu 0.000 0.000 8.129
Cu 1.800 1.800 1.777
CELL_PARAMETERS angstrom
3.599 0.000 0.000
0.000 3.599 0.000
-1.800 -1.800 9.906
```

***

Entry two
Crystalline Nd3Cu2 at its relaxed geometry, computed with GGA-PBE. Values from VASP.

Summary:
volume	131.7	Å³ per cell
SG	No. 65

Quantum ESPRESSO input file:
```
&SYSTEM
  ibrav = 0, nat = 5, ntyp = 2
/
ATOMIC_SPECIES
Nd 144.24 Nd.upf
Cu 63.55 Cu.upf
ATOMIC_POSITIONS angstrom
Nd -0.710 3.851 4.404
Nd -0.591 -1.574 2.410
Nd -0.711 1.871 1.048
Cu -1.586 1.042 3.875
Cu -3.032 2.865 2.648
CELL_PARAMETERS angstrom
-3.197 -1.815 1.072
2.014 -1.333 3.748
-3.435 7.056 1.703
```

***

The most stable of them is entry one.

***

Entry one
Crystalline NdCuNi4 at its relaxed geometry, computed with GGA-PBE. Values from VASP.

Summary:
volume	84.8	Å³ per cell
SG	No. 216

Quantum ESPRESSO input file:
```
&SYSTEM
  ibrav = 0, nat = 6, ntyp = 3
/
ATOMIC_SPECIES
Ni 58.69 Ni.upf
Nd 144.24 Nd.upf
Cu 63.55 Cu.upf
ATOMIC_POSITIONS angstrom
Ni 4.931 2.847 0.488
Ni 4.931 1.409 2.522
Ni 6.177 3.566 2.522
Ni 3.686 3.566 2.522
Nd 2.466 1.424 1.007
Cu 0.000 0.000 0.000
CELL_PARAMETERS angstrom
4.931 0.000 0.000
2.466 4.271 0.000
2.466 1.424 4.026
```

***

Entry two
Crystalline NdCuNi4 at its relaxed geometry, computed with GGA-PBE. Values from VASP.

Summary:
volume	86.0	Å³ per cell
SG	No. 65

Quantum ESPRESSO input file:
```
&SYSTEM
  ibrav = 0, nat = 6, ntyp = 3
/
ATOMIC_SPECIES
Nd 144.24 Nd.upf
Cu 63.55 Cu.upf
Ni 58.69 Ni.upf
ATOMIC_POSITIONS angstrom
Nd -0.514 -2.350 0.543
Cu 1.787 -0.191 0.868
Ni 0.599 -3.164 -1.928
Ni -1.628 -1.536 3.014
Ni 2.390 -1.994 -0.768
Ni 0.671 -0.737 3.047
CELL_PARAMETERS angstrom
-2.233 -1.093 4.358
1.205 -3.607 -3.272
3.575 -0.381 1.736
```

***

The most stable of them is entry two.

***

Entry one
Crystalline NdCu2Ni4 at its relaxed geometry, computed with GGA-PBE. Values from VASP.

Summary:
volume	96.4	Å³ per cell
SG	No. 12

Quantum ESPRESSO input file:
```
&SYSTEM
  ibrav = 0, nat = 7, ntyp = 3
/
ATOMIC_SPECIES
Nd 144.24 Nd.upf
Cu 63.55 Cu.upf
Ni 58.69 Ni.upf
ATOMIC_POSITIONS angstrom
Nd 0.000 0.000 0.000
Cu 4.270 2.062 4.985
Cu 2.113 2.060 3.830
Ni 4.217 2.728 2.488
Ni 2.166 1.394 6.327
Ni 3.028 -0.188 4.713
Ni 3.356 4.310 4.102
CELL_PARAMETERS angstrom
4.310 0.004 2.310
2.004 4.430 1.443
0.069 -0.312 5.062
```

***

Entry two
Crystalline NdCu2Ni4 at its relaxed geometry, computed with GGA-PBE. Values from VASP.

Summary:
volume	124.5	Å³ per cell
SG	No. 139

Quantum ESPRESSO input file:
```
&SYSTEM
  ibrav = 0, nat = 7, ntyp = 3
/
ATOMIC_SPECIES
Nd 144.24 Nd.upf
Cu 63.55 Cu.upf
Ni 58.69 Ni.upf
ATOMIC_POSITIONS angstrom
Nd 0.000 0.000 0.000
Cu 3.019 0.687 2.032
Cu 0.380 -3.404 1.407
Ni 1.769 -2.439 -0.161
Ni 2.955 -0.601 0.120
Ni 0.444 -2.117 3.319
Ni 1.630 -0.278 3.600
CELL_PARAMETERS angstrom
-0.577 -5.264 -1.649
4.700 2.918 -0.399
-0.724 -0.371 5.486
```

***

The most stable of them is entry one.

***

Entry one
Crystalline Nd2Cu3Ni2 at its relaxed geometry, computed with GGA-PBE. Values from VASP.

Summary:
volume	130.2	Å³ per cell
SG	No. 12

Quantum ESPRESSO input file:
```
&SYSTEM
  ibrav = 0, nat = 7, ntyp = 3
/
ATOMIC_SPECIES
Nd 144.24 Nd.upf
Cu 63.55 Cu.upf
Ni 58.69 Ni.upf
ATOMIC_POSITIONS angstrom
Nd 2.044 1.509 4.247
Nd 0.000 3.303 1.161
Cu 0.000 3.793 4.431
Cu 0.000 0.000 0.000
Cu 2.044 1.019 0.977
Ni 0.000 0.622 2.293
Ni 2.044 4.191 3.115
CELL_PARAMETERS angstrom
4.088 0.000 0.000
-2.044 4.950 -1.057
0.000 -0.138 6.465
```

***

Entry two
Crystalline Nd2Cu3Ni2 at its relaxed geometry, computed with GGA-PBE. Values from VASP.

Summary:
volume	122.0	Å³ per cell
SG	No. 12

Quantum ESPRESSO input file:
```
&SYSTEM
  ibrav = 0, nat = 7, ntyp = 3
/
ATOMIC_SPECIES
Nd 144.24 Nd.upf
Cu 63.55 Cu.upf
Ni 58.69 Ni.upf
ATOMIC_POSITIONS angstrom
Nd 2.021 2.934 1.307
Nd 0.000 -0.680 4.769
Cu 2.021 0.000 0.000
Cu 2.021 0.304 2.652
Cu 0.000 1.950 3.425
Ni 2.021 1.433 4.943
Ni 0.000 0.821 1.133
CELL_PARAMETERS angstrom
4.041 0.000 0.000
-2.021 4.860 -0.296
0.000 -2.605 6.373
```

***

The most stable of them is entry two.

***

Entry one
Crystalline NdCuNi3 at its relaxed geometry, computed with GGA-PBE. Values from VASP.

Summary:
volume	170.7	Å³ per cell
SG	No. 55

Quantum ESPRESSO input file:
```
&SYSTEM
  ibrav = 0, nat = 10, ntyp = 3
/
ATOMIC_SPECIES
Nd 144.24 Nd.upf
Cu 63.55 Cu.upf
Ni 58.69 Ni.upf
ATOMIC_POSITIONS angstrom
Nd -1.808 -0.022 -1.266
Nd -2.653 -4.238 0.014
Cu 0.862 -2.258 -1.193
Cu -1.708 -1.959 2.473
Ni -0.946 -2.280 -2.458
Ni -3.515 -1.980 1.207
Ni 0.433 -4.361 -0.543
Ni -0.423 -2.096 0.640
Ni -2.124 -4.071 3.104
Ni -1.268 -6.337 1.921
CELL_PARAMETERS angstrom
-3.616 -0.044 -2.532
1.725 -4.516 -2.385
-3.415 -3.917 4.946
```

***

Entry two
Crystalline NdCuNi3 at its relaxed geometry, computed with GGA-PBE. Values from VASP.

Summary:
volume	152.4	Å³ per cell
SG	No. 74

Quantum ESPRESSO input file:
```
&SYSTEM
  ibrav = 0, nat = 10, ntyp = 3
/
ATOMIC_SPECIES
Nd 144.24 Nd.upf
Cu 63.55 Cu.upf
Ni 58.69 Ni.upf
ATOMIC_POSITIONS angstrom
Nd 3.064 2.552 5.422
Nd 2.255 0.000 0.901
Cu 5.583 4.099 5.661
Cu 0.545 1.005 5.182
Ni 2.100 3.735 7.835
Ni 1.467 1.909 2.873
Ni 4.660 3.195 7.970
Ni 4.028 1.369 3.008
Ni 2.317 -0.133 4.018
Ni 0.062 -0.133 3.117
CELL_PARAMETERS angstrom
4.510 0.000 1.801
1.493 5.370 2.807
0.124 -0.266 6.234
```

***

The most stable of them is entry two.